DFT (PBE-GGA) results for a relaxed structure of LiHoTmLu.

Calculated values
* V: 110.4 Å³ per cell
* total moment: 0.0 μB/cell
* total DFT energy (no corrections): -14.8 eV per formula unit

Unit cell a=5.385 b=5.385 c=5.385 alpha=60.00 beta=60.00 gamma=60.00
Fractional coordinates of all 4 atoms:
Li 0.000 0.000 0.000
Ho 0.250 0.250 0.250
Tm 0.750 0.750 0.750
Lu 0.500 0.500 0.500



DFT (PBE-GGA) results for a relaxed structure of Li2Ho2Mg3.

Calculated values
* V: 169.7 Å³ per cell
* total moment: 0.0 μB/cell
* total DFT energy (no corrections): -17.9 eV per formula unit

Unit cell a=12.009 b=12.009 c=3.588 alpha=90.00 beta=90.00 gamma=160.85
Fractional coordinates of all 7 atoms:
Li 0.214 0.786 0.000
Li 0.786 0.214 0.000
Ho 0.077 0.923 0.000
Ho 0.923 0.077 0.000
Mg 0.338 0.662 0.500
Mg 0.500 0.500 0.500
Mg 0.662 0.338 0.500